#one
! GGA-PBE K2CuAu2, relaxed; values from VASP
! Space group ... I4/mmm (139)
&SYSTEM
  ibrav = 0, nat = 5, ntyp = 3
/
ATOMIC_SPECIES
K 39.10 K.upf
Au 196.97 Au.upf
Cu 63.55 Cu.upf
CELL_PARAMETERS angstrom
-4.062 -0.196 2.601
-2.257 -2.150 -3.686
-1.266 -7.420 1.942
ATOMIC_POSITIONS crystal
K 0.750 0.250 0.500
K 0.250 0.750 0.500
Au 0.403 0.403 0.193
Au 0.597 0.597 0.807
Cu 0.000 0.000 0.000

***

#two
! GGA-PBE K2CuAu2, relaxed; values from VASP
! Space group ... P4/mbm (127)
&SYSTEM
  ibrav = 0, nat = 10, ntyp = 3
/
ATOMIC_SPECIES
K 39.10 K.upf
Au 196.97 Au.upf
Cu 63.55 Cu.upf
CELL_PARAMETERS angstrom
7.047 0.000 0.000
0.000 7.047 0.000
0.000 0.000 5.261
ATOMIC_POSITIONS crystal
K 0.170 0.670 0.500
K 0.670 0.830 0.500
K 0.830 0.330 0.500
K 0.330 0.170 0.500
Au 0.352 0.852 0.000
Au 0.852 0.648 0.000
Au 0.648 0.148 0.000
Au 0.148 0.352 0.000
Cu 0.000 0.000 0.000
Cu 0.500 0.500 0.000

***

Which of them is the most stable, and which is the least stable? #two and #one, in that order.

***

#one
! GGA-PBE KCuAu2, relaxed; values from VASP
! Space group ... Cm (8)
&SYSTEM
  ibrav = 0, nat = 4, ntyp = 3
/
ATOMIC_SPECIES
K 39.10 K.upf
Au 196.97 Au.upf
Cu 63.55 Cu.upf
CELL_PARAMETERS angstrom
-4.039 2.295 0.078
-3.821 -1.982 -1.749
-4.150 -2.169 4.584
ATOMIC_POSITIONS crystal
K 0.255 0.255 0.246
Au 0.067 0.067 0.791
Au 0.753 0.753 0.739
Cu 0.425 0.425 0.723

***

#two
! GGA-PBE KCuAu2, relaxed; values from VASP
! Space group ... Pmm2 (25)
&SYSTEM
  ibrav = 0, nat = 4, ntyp = 3
/
ATOMIC_SPECIES
Au 196.97 Au.upf
Cu 63.55 Cu.upf
K 39.10 K.upf
CELL_PARAMETERS angstrom
2.865 0.000 0.000
0.000 4.240 0.000
0.000 0.000 7.414
ATOMIC_POSITIONS crystal
Au 0.000 0.000 0.044
Au 0.500 0.500 0.307
Cu 0.000 0.000 0.399
K 0.500 0.500 0.751

***

Which of them is the most stable, and which is the least stable? #one and #two, in that order.

***

#one
! GGA-PBE KCuAu2, relaxed; values from VASP
! Space group ... I4_1/amd (141)
&SYSTEM
  ibrav = 0, nat = 8, ntyp = 3
/
ATOMIC_SPECIES
K 39.10 K.upf
Au 196.97 Au.upf
Cu 63.55 Cu.upf
CELL_PARAMETERS angstrom
-0.417 -4.898 2.077
3.452 1.336 3.844
-5.039 0.882 7.923
ATOMIC_POSITIONS crystal
K 0.500 0.500 0.000
K 0.250 0.750 0.500
Au 0.875 0.125 0.250
Au 0.875 0.625 0.250
Au 0.375 0.125 0.750
Au 0.875 0.125 0.750
Cu 0.000 0.000 0.000
Cu 0.750 0.250 0.500

***

#two
! GGA-PBE KCuAu2, relaxed; values from VASP
! Space group ... Immm (71)
&SYSTEM
  ibrav = 0, nat = 4, ntyp = 3
/
ATOMIC_SPECIES
Au 196.97 Au.upf
Cu 63.55 Cu.upf
K 39.10 K.upf
CELL_PARAMETERS angstrom
6.204 0.002 -0.005
3.113 5.366 0.005
-3.781 -4.208 2.548
ATOMIC_POSITIONS crystal
Au 0.952 0.952 0.000
Au 0.548 0.548 0.000
Cu 0.750 0.250 0.500
K 0.250 0.750 0.500

***

Which of them is the most stable, and which is the least stable? #one and #two, in that order.

***

#one
! GGA-PBE K2Cu2Au, relaxed; values from VASP
! Space group ... P4/mbm (127)
&SYSTEM
  ibrav = 0, nat = 10, ntyp = 3
/
ATOMIC_SPECIES
K 39.10 K.upf
Au 196.97 Au.upf
Cu 63.55 Cu.upf
CELL_PARAMETERS angstrom
-2.469 2.176 5.970
3.316 -5.022 3.202
4.191 3.142 0.588
ATOMIC_POSITIONS crystal
K 0.185 0.685 0.500
K 0.685 0.815 0.500
K 0.815 0.315 0.500
K 0.315 0.185 0.500
Au 0.000 0.000 0.000
Au 0.500 0.500 0.000
Cu 0.372 0.872 0.000
Cu 0.872 0.628 0.000
Cu 0.628 0.128 0.000
Cu 0.128 0.372 0.000

***

#two
! GGA-PBE K2Cu2Au, relaxed; values from VASP
! Space group ... I4/mmm (139)
&SYSTEM
  ibrav = 0, nat = 5, ntyp = 3
/
ATOMIC_SPECIES
K 39.10 K.upf
Au 196.97 Au.upf
Cu 63.55 Cu.upf
CELL_PARAMETERS angstrom
-0.206 4.993 -3.864
-0.522 -3.866 -4.968
-4.058 0.655 -4.100
ATOMIC_POSITIONS crystal
K 0.750 0.250 0.500
K 0.250 0.750 0.500
Au 0.000 0.000 0.000
Cu 0.342 0.342 0.316
Cu 0.658 0.658 0.684

***

#three
! GGA-PBE K2Cu2Au, relaxed; values from VASP
! Space group ... I4/mmm (139)
&SYSTEM
  ibrav = 0, nat = 5, ntyp = 3
/
ATOMIC_SPECIES
K 39.10 K.upf
Au 196.97 Au.upf
Cu 63.55 Cu.upf
CELL_PARAMETERS angstrom
-3.027 1.045 -1.545
-1.760 -0.625 3.026
-0.635 9.725 3.729
ATOMIC_POSITIONS crystal
K 0.391 0.391 0.218
K 0.609 0.609 0.782
Au 0.000 0.000 0.000
Cu 0.750 0.250 0.500
Cu 0.250 0.750 0.500

***

Which of them is the most stable, and which is the least stable? #three and #two, in that order.

***

#one
! GGA-PBE KCu3Au, relaxed; values from VASP
! Space group ... Pm-3m (221)
&SYSTEM
  ibrav = 0, nat = 5, ntyp = 3
/
ATOMIC_SPECIES
K 39.10 K.upf
Au 196.97 Au.upf
Cu 63.55 Cu.upf
CELL_PARAMETERS angstrom
-4.417 0.532 -2.130
-1.177 -4.613 1.289
-1.853 1.663 4.258
ATOMIC_POSITIONS crystal
K 0.500 0.500 0.500
Au 0.000 0.000 0.000
Cu 0.000 0.500 0.000
Cu 0.000 0.000 0.500
Cu 0.500 0.000 0.000

***

#two
! GGA-PBE KCu3Au, relaxed; values from VASP
! Space group ... Pm-3m (221)
&SYSTEM
  ibrav = 0, nat = 5, ntyp = 3
/
ATOMIC_SPECIES
K 39.10 K.upf
Au 196.97 Au.upf
Cu 63.55 Cu.upf
CELL_PARAMETERS angstrom
4.851 0.000 0.000
0.000 4.851 0.000
0.000 0.000 4.851
ATOMIC_POSITIONS crystal
K 0.000 0.000 0.000
Au 0.500 0.500 0.500
Cu 0.000 0.500 0.000
Cu 0.000 0.000 0.500
Cu 0.500 0.000 0.000

***

Which of them is the most stable, and which is the least stable? #one and #two, in that order.

***

#one
! GGA-PBE KNa2CuAu, relaxed; values from VASP
! Space group ... P4/mmm (123)
&SYSTEM
  ibrav = 0, nat = 5, ntyp = 4
/
ATOMIC_SPECIES
Na 22.99 Na.upf
K 39.10 K.upf
Au 196.97 Au.upf
Cu 63.55 Cu.upf
CELL_PARAMETERS angstrom
-2.595 -1.455 -4.562
-4.477 -1.104 2.899
-1.569 4.739 -0.619
ATOMIC_POSITIONS crystal
Na 0.000 0.500 0.000
Na 0.500 0.000 0.000
K 0.500 0.500 0.500
Au 0.000 0.000 0.500
Cu 0.000 0.000 0.000

***

#two
! GGA-PBE KNa2CuAu, relaxed; values from VASP
! Space group ... P4/mmm (123)
&SYSTEM
  ibrav = 0, nat = 5, ntyp = 4
/
ATOMIC_SPECIES
Na 22.99 Na.upf
K 39.10 K.upf
Au 196.97 Au.upf
Cu 63.55 Cu.upf
CELL_PARAMETERS angstrom
-3.601 4.180 1.193
-1.423 0.331 -5.452
-3.651 -3.358 0.749
ATOMIC_POSITIONS crystal
Na 0.000 0.500 0.000
Na 0.500 0.000 0.000
K 0.500 0.500 0.500
Au 0.000 0.000 0.000
Cu 0.000 0.000 0.500

***

Which of them is the most stable, and which is the least stable? #one and #two, in that order.

***

#one
! GGA-PBE LaCu3Au, relaxed; values from VASP
! Space group ... Pm-3m (221)
&SYSTEM
  ibrav = 0, nat = 5, ntyp = 3
/
ATOMIC_SPECIES
Au 196.97 Au.upf
Cu 63.55 Cu.upf
La 138.91 La.upf
CELL_PARAMETERS angstrom
4.802 0.000 0.000
0.000 4.802 0.000
0.000 0.000 4.802
ATOMIC_POSITIONS crystal
Au 0.000 0.000 0.000
Cu 0.000 0.500 0.000
Cu 0.000 0.000 0.500
Cu 0.500 0.000 0.000
La 0.500 0.500 0.500

***

#two
! GGA-PBE LaCu3Au, relaxed; values from VASP
! Space group ... Pm-3m (221)
&SYSTEM
  ibrav = 0, nat = 5, ntyp = 3
/
ATOMIC_SPECIES
Au 196.97 Au.upf
Cu 63.55 Cu.upf
La 138.91 La.upf
CELL_PARAMETERS angstrom
5.171 0.000 0.000
0.000 5.171 0.000
0.000 0.000 5.171
ATOMIC_POSITIONS crystal
Au 0.500 0.500 0.500
Cu 0.000 0.500 0.000
Cu 0.000 0.000 0.500
Cu 0.500 0.000 0.000
La 0.000 0.000 0.000

***

Which of them is the most stable, and which is the least stable? #one and #two, in that order.

***

#one
! GGA-PBE La2CuAu2, relaxed; values from VASP
! Space group ... P4/mbm (127)
&SYSTEM
  ibrav = 0, nat = 10, ntyp = 3
/
ATOMIC_SPECIES
Au 196.97 Au.upf
Cu 63.55 Cu.upf
La 138.91 La.upf
CELL_PARAMETERS angstrom
7.918 0.000 0.000
0.000 7.918 0.000
0.000 0.000 4.104
ATOMIC_POSITIONS crystal
Au 0.369 0.869 0.000
Au 0.869 0.631 0.000
Au 0.631 0.131 0.000
Au 0.131 0.369 0.000
Cu 0.000 0.000 0.000
Cu 0.500 0.500 0.000
La 0.173 0.673 0.500
La 0.673 0.827 0.500
La 0.827 0.327 0.500
La 0.327 0.173 0.500

***

#two
! GGA-PBE La2CuAu2, relaxed; values from VASP
! Space group ... I4/mmm (139)
&SYSTEM
  ibrav = 0, nat = 5, ntyp = 3
/
ATOMIC_SPECIES
Au 196.97 Au.upf
Cu 63.55 Cu.upf
La 138.91 La.upf
CELL_PARAMETERS angstrom
5.897 0.000 0.000
0.000 5.897 0.000
2.949 2.949 3.942
ATOMIC_POSITIONS crystal
Au 0.333 0.333 0.333
Au 0.667 0.667 0.667
Cu 0.000 0.000 0.000
La 0.750 0.250 0.500
La 0.250 0.750 0.500

***

Which of them is the most stable, and which is the least stable? #one and #two, in that order.

***

#one
! GGA-PBE La2CuAu2, relaxed; values from VASP
! Space group ... P4/mbm (127)
&SYSTEM
  ibrav = 0, nat = 10, ntyp = 3
/
ATOMIC_SPECIES
Au 196.97 Au.upf
Cu 63.55 Cu.upf
La 138.91 La.upf
CELL_PARAMETERS angstrom
-0.799 6.906 -4.402
-8.077 -1.395 -0.722
-0.665 2.089 3.397
ATOMIC_POSITIONS crystal
Au 0.128 0.628 0.500
Au 0.628 0.872 0.500
Au 0.872 0.372 0.500
Au 0.372 0.128 0.500
Cu 0.000 0.000 0.000
Cu 0.500 0.500 0.000
La 0.330 0.830 0.000
La 0.830 0.670 0.000
La 0.670 0.170 0.000
La 0.170 0.330 0.000

***

#two
! GGA-PBE La2CuAu2, relaxed; values from VASP
! Space group ... P-1 (2)
&SYSTEM
  ibrav = 0, nat = 10, ntyp = 3
/
ATOMIC_SPECIES
La 138.91 La.upf
Cu 63.55 Cu.upf
Au 196.97 Au.upf
CELL_PARAMETERS angstrom
-1.594 -1.168 -3.888
4.277 -0.221 -4.129
0.504 -10.549 0.547
ATOMIC_POSITIONS crystal
La 0.321 0.709 0.649
La 0.073 0.737 0.115
La 0.679 0.291 0.351
La 0.927 0.263 0.885
Cu 0.390 0.891 0.327
Cu 0.610 0.109 0.673
Au 0.930 0.715 0.425
Au 0.355 0.173 0.118
Au 0.070 0.285 0.575
Au 0.645 0.827 0.882

***

Which of them is the most stable, and which is the least stable? #two and #one, in that order.

***

#one
! GGA-PBE La2Cu2Au, relaxed; values from VASP
! Space group ... P4/mbm (127)
&SYSTEM
  ibrav = 0, nat = 10, ntyp = 3
/
ATOMIC_SPECIES
Au 196.97 Au.upf
Cu 63.55 Cu.upf
La 138.91 La.upf
CELL_PARAMETERS angstrom
7.627 0.000 0.000
0.000 7.627 0.000
0.000 0.000 3.980
ATOMIC_POSITIONS crystal
Au 0.000 0.000 0.000
Au 0.500 0.500 0.000
Cu 0.384 0.884 0.000
Cu 0.884 0.616 0.000
Cu 0.616 0.116 0.000
Cu 0.116 0.384 0.000
La 0.182 0.682 0.500
La 0.682 0.818 0.500
La 0.818 0.318 0.500
La 0.318 0.182 0.500

***

#two
! GGA-PBE La2Cu2Au, relaxed; values from VASP
! Space group ... C2/m (12)
&SYSTEM
  ibrav = 0, nat = 10, ntyp = 3
/
ATOMIC_SPECIES
La 138.91 La.upf
Cu 63.55 Cu.upf
Au 196.97 Au.upf
CELL_PARAMETERS angstrom
4.427 0.000 0.000
2.213 5.375 -0.316
2.213 0.306 10.095
ATOMIC_POSITIONS crystal
La 0.686 0.273 0.356
La 0.915 0.280 0.889
La 0.314 0.727 0.644
La 0.085 0.720 0.111
Cu 0.056 0.318 0.571
Cu 0.623 0.860 0.895
Cu 0.944 0.682 0.429
Cu 0.377 0.140 0.105
Au 0.594 0.138 0.674
Au 0.406 0.862 0.326

***

#three
! GGA-PBE La2Cu2Au, relaxed; values from VASP
! Space group ... I4/mmm (139)
&SYSTEM
  ibrav = 0, nat = 5, ntyp = 3
/
ATOMIC_SPECIES
Au 196.97 Au.upf
Cu 63.55 Cu.upf
La 138.91 La.upf
CELL_PARAMETERS angstrom
3.610 0.000 0.000
0.000 3.610 0.000
1.805 1.805 8.962
ATOMIC_POSITIONS crystal
Au 0.000 0.000 0.000
Cu 0.750 0.250 0.500
Cu 0.250 0.750 0.500
La 0.389 0.389 0.221
La 0.611 0.611 0.779

***

#four
! GGA-PBE La2Cu2Au, relaxed; values from VASP
! Space group ... I4/mmm (139)
&SYSTEM
  ibrav = 0, nat = 5, ntyp = 3
/
ATOMIC_SPECIES
Au 196.97 Au.upf
Cu 63.55 Cu.upf
La 138.91 La.upf
CELL_PARAMETERS angstrom
-1.219 -2.385 5.019
-0.783 -5.013 -2.573
2.643 -4.522 1.717
ATOMIC_POSITIONS crystal
Au 0.000 0.000 0.000
Cu 0.350 0.350 0.300
Cu 0.650 0.650 0.700
La 0.750 0.250 0.500
La 0.250 0.750 0.500

***

Which of them is the most stable, and which is the least stable? #two and #four, in that order.

***

#one
! GGA-PBE La2CuAuN, relaxed; values from VASP
! Space group ... P4/mmm (123)
&SYSTEM
  ibrav = 0, nat = 5, ntyp = 4
/
ATOMIC_SPECIES
N 14.01 N.upf
Au 196.97 Au.upf
Cu 63.55 Cu.upf
La 138.91 La.upf
CELL_PARAMETERS angstrom
-0.066 -2.818 -4.391
-3.168 -3.468 2.273
-3.077 2.000 -1.237
ATOMIC_POSITIONS crystal
N 0.000 0.000 0.000
Au 0.500 0.500 0.500
Cu 0.000 0.000 0.500
La 0.000 0.500 0.000
La 0.500 0.000 0.000

***

#two
! GGA-PBE La2CuAuN, relaxed; values from VASP
! Space group ... P2_1/m (11)
&SYSTEM
  ibrav = 0, nat = 10, ntyp = 4
/
ATOMIC_SPECIES
La 138.91 La.upf
Cu 63.55 Cu.upf
Au 196.97 Au.upf
N 14.01 N.upf
CELL_PARAMETERS angstrom
-3.183 -1.829 -1.279
-0.478 -3.577 6.304
-4.243 7.000 0.550
ATOMIC_POSITIONS crystal
La 0.750 0.805 0.608
La 0.750 0.798 0.040
La 0.250 0.195 0.392
La 0.250 0.202 0.960
Cu 0.250 0.562 0.754
Cu 0.750 0.438 0.246
Au 0.250 0.693 0.295
Au 0.750 0.307 0.705
N 0.250 0.855 0.826
N 0.750 0.145 0.174

***

Which of them is the most stable, and which is the least stable? #two and #one, in that order.

***

#one
! GGA-PBE LaNdCuAu, relaxed; values from VASP
! Space group ... Amm2 (38)
&SYSTEM
  ibrav = 0, nat = 4, ntyp = 4
/
ATOMIC_SPECIES
La 138.91 La.upf
Nd 144.24 Nd.upf
Cu 63.55 Cu.upf
Au 196.97 Au.upf
CELL_PARAMETERS angstrom
4.000 0.000 0.000
0.000 4.711 0.000
-2.000 0.000 5.543
ATOMIC_POSITIONS crystal
La 0.140 0.000 0.279
Nd 0.862 0.500 0.724
Cu 0.424 0.000 0.847
Au 0.575 0.500 0.149

***

#two
! GGA-PBE LaNdCuAu, relaxed; values from VASP
! Space group ... F-43m (216)
&SYSTEM
  ibrav = 0, nat = 4, ntyp = 4
/
ATOMIC_SPECIES
Nd 144.24 Nd.upf
Au 196.97 Au.upf
Cu 63.55 Cu.upf
La 138.91 La.upf
CELL_PARAMETERS angstrom
5.236 0.000 0.000
2.618 4.534 0.000
2.618 1.511 4.275
ATOMIC_POSITIONS crystal
Nd 0.500 0.500 0.500
Au 0.750 0.750 0.750
Cu 0.250 0.250 0.250
La 0.000 0.000 0.000

***

Which of them is the most stable, and which is the least stable? #one and #two, in that order.